# 1
Computed, not measured: Tc2HgTe after structural relaxation at the PBE level of DFT.

POSCAR file:
```
Tc2HgTe
1.0
3.029 0.000 0.000
0.000 3.029 0.000
0.000 0.000 8.845
Tc Hg Te
2 1 1
direct
0.000 0.000 0.000
0.500 0.500 0.175
0.500 0.500 0.770
0.000 0.000 0.393
```

Summary:
Its space group is P4mm, No. 99. Its energy relative to the lowest polymorph listed for this composition is 0 meV/atom.

# 2
Computed, not measured: Tc2HgTe after structural relaxation at the PBE level of DFT.

POSCAR file:
```
Tc2HgTe
1.0
3.243 0.000 0.000
0.000 3.243 0.000
0.000 0.000 6.727
Tc Hg Te
2 1 1
direct
0.000 0.000 0.226
0.000 0.000 0.774
0.500 0.500 0.500
0.500 0.500 0.000
```

Summary:
Its space group is P4/mmm, No. 123. Its energy relative to the lowest polymorph listed for this composition is 266 meV/atom.

# 3
Computed, not measured: TcHgTe2 after structural relaxation at the PBE level of DFT.

POSCAR file:
```
TcHgTe2
1.0
2.746 -5.490 0.000
2.746 5.490 0.000
0.000 0.000 3.774
Tc Hg Te
1 1 2
direct
0.000 0.000 0.000
0.500 0.500 0.000
0.171 0.829 0.500
0.829 0.171 0.500
```

Summary:
Its space group is Cmmm, No. 65.

# 4
Computed, not measured: TcHgTe2 after structural relaxation at the PBE level of DFT.

POSCAR file:
```
TcHgTe2
1.0
3.088 -4.182 0.000
3.088 4.182 0.000
-2.068 0.000 4.003
Tc Hg Te
1 1 2
direct
0.000 0.000 0.000
0.500 0.500 0.000
0.000 0.500 0.500
0.500 0.000 0.500
```

Summary:
Its space group is C2/m, No. 12.

# 5
Computed, not measured: TcHgTe2 after structural relaxation at the PBE level of DFT.

POSCAR file:
```
TcHgTe2
1.0
3.170 0.000 0.000
0.000 3.170 0.000
0.000 0.000 10.116
Tc Hg Te
1 1 2
direct
0.000 0.000 0.000
0.500 0.500 0.810
0.000 0.000 0.510
0.500 0.500 0.152
```

Summary:
Its space group is P4mm, No. 99.

# 6
Computed, not measured: Tc2HgTe after structural relaxation at the PBE level of DFT.

POSCAR file:
```
Tc2HgTe
1.0
3.200 0.000 0.000
0.000 4.060 0.000
-0.062 0.000 6.808
Tc Hg Te
2 1 1
direct
0.000 0.000 0.000
0.458 0.500 0.971
0.499 0.000 0.641
0.963 0.500 0.293
```

Summary:
Its space group is Pm, No. 6. Its energy relative to the lowest polymorph listed for this composition is 241 meV/atom.

Number 1: formation energy from raw total energies 6.27 kcal/mol of atoms, total DFT energy (no corrections) -5.772 eV/atom. Number 2: formation energy from raw total energies 12.42 kcal/mol of atoms, total DFT energy (no corrections) -5.505 eV/atom. Number 3: formation energy from raw total energies 3.88 kcal/mol of atoms, total DFT energy (no corrections) -4.069 eV/atom. Number 4: formation energy from raw total energies 15.12 kcal/mol of atoms, total DFT energy (no corrections) -3.582 eV/atom. Number 5: formation energy from raw total energies 4.63 kcal/mol of atoms, total DFT energy (no corrections) -4.037 eV/atom. Number 6: formation energy from raw total energies 11.83 kcal/mol of atoms, total DFT energy (no corrections) -5.531 eV/atom.